Entry 1:
Density functional theory data (PBE) for a relaxed La4Pm10Sm crystal.

Cell and atoms, written as CIF:
```
data_La4Pm10Sm
_chemical_formula_sum 'La8 Pm20 Sm2'
_cell_length_a 9.9858
_cell_length_b 9.9858
_cell_length_c 10.7235
_cell_angle_alpha 90.00
_cell_angle_beta 90.00
_cell_angle_gamma 90.00
_space_group_name_H-M_alt 'I 4/m'
_space_group_IT_number 87
_space_group_name_Hall '-I 4'
loop_
_atom_site_label
_atom_site_type_symbol
_atom_site_fract_x
_atom_site_fract_y
_atom_site_fract_z
La1 La 0.0571 0.6712 0.0000
Pm1 Pm 0.0000 0.5000 0.2500
Pm2 Pm 0.1161 0.7945 0.3397
Sm1 Sm 0.0000 0.0000 0.0000
```

Calculated values
The value obtained for the formation energy is 0.296 eV/atom. As for the density of states at the Fermi level: 40.53 states/eV/cell. The value obtained for the spin magnetization is 0.0 Bohr magnetons per cell.

Entry 2:
Density functional theory data (PBE) for a relaxed La4Pm8Sm3 crystal.

Cell and atoms, written as CIF:
```
data_La4Pm8Sm3
_chemical_formula_sum 'La8 Pm16 Sm6'
_cell_length_a 13.7766
_cell_length_b 13.0540
_cell_length_c 6.9436
_cell_angle_alpha 90.00
_cell_angle_beta 120.25
_cell_angle_gamma 90.00
_space_group_name_H-M_alt 'C 1 2/m 1'
_space_group_IT_number 12
loop_
_space_group_symop_operation_xyz
'x,y,z'
'-x,-y,-z'
'-x,y,-z'
'x,-y,z'
'x+1/2,y+1/2,z'
'-x+1/2,-y+1/2,-z'
'-x+1/2,y+1/2,-z'
'x+1/2,-y+1/2,z'
loop_
_atom_site_label
_atom_site_type_symbol
_atom_site_fract_x
_atom_site_fract_y
_atom_site_fract_z
La1 La 0.0000 0.0000 0.0000
La2 La 0.0000 0.0000 0.5000
La3 La 0.2500 0.2500 0.0000
Pm1 Pm 0.0000 0.2562 0.0000
Pm2 Pm 0.0000 0.3573 0.5000
Pm3 Pm 0.2286 0.5000 0.9515
Pm4 Pm 0.2355 0.5000 0.4871
Sm1 Sm 0.0000 0.5000 0.0000
Sm2 Sm 0.2500 0.2500 0.5000
```

Calculated values
The value obtained for the formation energy is 0.316 eV/atom. As for the density of states at the Fermi level: 56.78 states/eV/cell. The value obtained for the spin magnetization is 0.0 Bohr magnetons per cell.

Entry 3:
Density functional theory data (PBE) for a relaxed La3PmSm5 crystal.

Cell and atoms, written as CIF:
```
data_La3PmSm5
_chemical_formula_sum 'La12 Pm4 Sm20'
_cell_length_a 12.5035
_cell_length_b 8.4726
_cell_length_c 12.8373
_cell_angle_alpha 90.00
_cell_angle_beta 100.77
_cell_angle_gamma 90.00
_space_group_name_H-M_alt 'C 1 2/m 1'
_space_group_IT_number 12
loop_
_space_group_symop_operation_xyz
'x,y,z'
'-x,-y,-z'
'-x,y,-z'
'x,-y,z'
'x+1/2,y+1/2,z'
'-x+1/2,-y+1/2,-z'
'-x+1/2,y+1/2,-z'
'x+1/2,-y+1/2,z'
loop_
_atom_site_label
_atom_site_type_symbol
_atom_site_fract_x
_atom_site_fract_y
_atom_site_fract_z
La1 La 0.0000 0.0000 0.0000
La2 La 0.0000 0.0000 0.5000
La3 La 0.1143 0.5000 0.2125
La4 La 0.2287 0.5000 0.4692
Pm1 Pm 0.1376 0.0000 0.2644
Sm1 Sm 0.0000 0.3175 0.0000
Sm2 Sm 0.0546 0.5000 0.6261
Sm3 Sm 0.1347 0.1940 0.7752
Sm4 Sm 0.2403 0.5000 0.9725
```

Calculated values
The value obtained for the formation energy is 0.392 eV/atom. As for the density of states at the Fermi level: 57.05 states/eV/cell. The value obtained for the spin magnetization is 0.0 Bohr magnetons per cell.

Entry 4:
Density functional theory data (PBE) for a relaxed La4PmSm2 crystal.

Cell and atoms, written as CIF:
```
data_La4PmSm2
_chemical_formula_sum 'La8 Pm2 Sm4'
_cell_length_a 7.0815
_cell_length_b 7.2704
_cell_length_c 10.5854
_cell_angle_alpha 90.01
_cell_angle_beta 90.00
_cell_angle_gamma 109.05
_space_group_name_H-M_alt 'P -1'
_space_group_IT_number 2
loop_
_space_group_symop_operation_xyz
'x,y,z'
'-x,-y,-z'
loop_
_atom_site_label
_atom_site_type_symbol
_atom_site_fract_x
_atom_site_fract_y
_atom_site_fract_z
La1 La 0.1927 0.2264 0.2104
La2 La 0.1937 0.2280 0.7891
La3 La 0.3060 0.7726 0.2900
La4 La 0.3070 0.7740 0.7097
Pm1 Pm 0.5000 0.0000 0.0000
Pm2 Pm 0.5000 0.5000 0.0000
Sm1 Sm 0.0000 0.0000 0.5000
Sm2 Sm 0.0000 0.5000 0.0000
Sm3 Sm 0.0000 0.5000 0.5000
Sm4 Sm 0.5000 0.5000 0.5000
```

Calculated values
The value obtained for the formation energy is 0.162 eV/atom. As for the density of states at the Fermi level: 20.27 states/eV/cell. The value obtained for the spin magnetization is 0.0 Bohr magnetons per cell. As for the offset from the most stable computed form: 0.000 eV per formula unit.

Entry 5:
Density functional theory data (PBE) for a relaxed La4PmSm7 crystal.

Cell and atoms, written as CIF:
```
data_La4PmSm7
_chemical_formula_sum 'La8 Pm2 Sm14'
_cell_length_a 12.2441
_cell_length_b 6.1012
_cell_length_c 13.0974
_cell_angle_alpha 90.00
_cell_angle_beta 117.44
_cell_angle_gamma 90.00
_space_group_name_H-M_alt 'C 1 2/m 1'
_space_group_IT_number 12
loop_
_space_group_symop_operation_xyz
'x,y,z'
'-x,-y,-z'
'-x,y,-z'
'x,-y,z'
'x+1/2,y+1/2,z'
'-x+1/2,-y+1/2,-z'
'-x+1/2,y+1/2,-z'
'x+1/2,-y+1/2,z'
loop_
_atom_site_label
_atom_site_type_symbol
_atom_site_fract_x
_atom_site_fract_y
_atom_site_fract_z
La1 La 0.0565 0.0000 0.3315
La2 La 0.1409 0.5000 0.7772
Pm1 Pm 0.0000 0.5000 0.0000
Sm1 Sm 0.0000 0.0000 0.0000
Sm2 Sm 0.1357 0.5000 0.5034
Sm3 Sm 0.2120 0.0000 0.9230
Sm4 Sm 0.2457 0.5000 0.3145
```

Calculated values
The value obtained for the formation energy is 0.225 eV/atom. As for the density of states at the Fermi level: 41.28 states/eV/cell. The value obtained for the spin magnetization is 0.0 Bohr magnetons per cell. As for the offset from the most stable computed form: 2.519 eV per formula unit.

Entry 6:
Density functional theory data (PBE) for a relaxed LaPmSm crystal.

Cell and atoms, written as CIF:
```
data_LaPmSm
_chemical_formula_sum 'La2 Pm2 Sm2'
_cell_length_a 3.6827
_cell_length_b 3.6827
_cell_length_c 15.5894
_cell_angle_alpha 90.00
_cell_angle_beta 90.00
_cell_angle_gamma 90.00
_space_group_name_H-M_alt 'I 4 m m'
_space_group_IT_number 107
_space_group_name_Hall 'I 4 -2'
loop_
_atom_site_label
_atom_site_type_symbol
_atom_site_fract_x
_atom_site_fract_y
_atom_site_fract_z
La1 La 0.0000 0.0000 0.0000
Pm1 Pm 0.0000 0.0000 0.6689
Sm1 Sm 0.0000 0.0000 0.3321
```

Calculated values
The value obtained for the formation energy is 0.021 eV/atom. As for the density of states at the Fermi level: 10.40 states/eV/cell. The value obtained for the spin magnetization is 0.0 Bohr magnetons per cell. As for the offset from the most stable computed form: 0.018 eV per formula unit.

Entry 7:
Density functional theory data (PBE) for a relaxed La2PmSm4 crystal.

Cell and atoms, written as CIF:
```
data_La2PmSm4
_chemical_formula_sum 'La4 Pm2 Sm8'
_cell_length_a 4.6622
_cell_length_b 4.6622
_cell_length_c 23.0518
_cell_angle_alpha 90.00
_cell_angle_beta 90.00
_cell_angle_gamma 90.00
_space_group_name_H-M_alt 'I 4/m m m'
_space_group_IT_number 139
_space_group_name_Hall '-I 4 2'
loop_
_atom_site_label
_atom_site_type_symbol
_atom_site_fract_x
_atom_site_fract_y
_atom_site_fract_z
La1 La 0.0000 0.0000 0.0971
Pm1 Pm 0.0000 0.0000 0.5000
Sm1 Sm 0.0000 0.0000 0.3615
Sm2 Sm 0.0000 0.5000 0.2500
```

Calculated values
The value obtained for the formation energy is 0.222 eV/atom. As for the density of states at the Fermi level: 19.92 states/eV/cell. The value obtained for the spin magnetization is 0.0 Bohr magnetons per cell. As for the offset from the most stable computed form: 0.203 eV per formula unit.

Entry 8:
Density functional theory data (PBE) for a relaxed LaPm2Sm4 crystal.

Cell and atoms, written as CIF:
```
data_LaPm2Sm4
_chemical_formula_sum 'La2 Pm4 Sm8'
_cell_length_a 4.6361
_cell_length_b 4.6361
_cell_length_c 23.1231
_cell_angle_alpha 90.00
_cell_angle_beta 90.00
_cell_angle_gamma 90.00
_space_group_name_H-M_alt 'I 4/m m m'
_space_group_IT_number 139
_space_group_name_Hall '-I 4 2'
loop_
_atom_site_label
_atom_site_type_symbol
_atom_site_fract_x
_atom_site_fract_y
_atom_site_fract_z
La1 La 0.0000 0.0000 0.0000
Pm1 Pm 0.0000 0.0000 0.3997
Sm1 Sm 0.0000 0.0000 0.1391
Sm2 Sm 0.0000 0.5000 0.2500
```

Calculated values
The value obtained for the formation energy is 0.229 eV/atom. As for the density of states at the Fermi level: 19.94 states/eV/cell. The value obtained for the spin magnetization is 0.0 Bohr magnetons per cell. As for the offset from the most stable computed form: 0.121 eV per formula unit.

Entry 9:
Density functional theory data (PBE) for a relaxed LaPmSm crystal.

Cell and atoms, written as CIF:
```
data_LaPmSm
_chemical_formula_sum 'La2 Pm2 Sm2'
_cell_length_a 6.6236
_cell_length_b 3.5259
_cell_length_c 9.0564
_cell_angle_alpha 90.00
_cell_angle_beta 90.00
_cell_angle_gamma 90.00
_space_group_name_H-M_alt 'P m m a'
_space_group_IT_number 51
loop_
_space_group_symop_operation_xyz
'x,y,z'
'-x,-y,-z'
'-x+1/2,-y,z'
'x+1/2,y,-z'
'x+1/2,-y,-z'
'-x+1/2,y,z'
'-x,y,-z'
'x,-y,z'
loop_
_atom_site_label
_atom_site_type_symbol
_atom_site_fract_x
_atom_site_fract_y
_atom_site_fract_z
La1 La 0.2500 0.0000 0.1490
Pm1 Pm 0.2500 0.5000 0.8004
Sm1 Sm 0.0000 0.0000 0.5000
```

Calculated values
The value obtained for the formation energy is 0.148 eV/atom. As for the density of states at the Fermi level: 11.24 states/eV/cell. The value obtained for the spin magnetization is 0.0 Bohr magnetons per cell. As for the offset from the most stable computed form: 0.400 eV per formula unit.

Entry 10:
Density functional theory data (PBE) for a relaxed La8Pm3Sm3 crystal.

Cell and atoms, written as CIF:
```
data_La8Pm3Sm3
_chemical_formula_sum 'La16 Pm6 Sm6'
_cell_length_a 5.7880
_cell_length_b 11.0818
_cell_length_c 15.5617
_cell_angle_alpha 90.00
_cell_angle_beta 90.00
_cell_angle_gamma 90.00
_space_group_name_H-M_alt 'I m m m'
_space_group_IT_number 71
_space_group_name_Hall '-I 2 2'
loop_
_atom_site_label
_atom_site_type_symbol
_atom_site_fract_x
_atom_site_fract_y
_atom_site_fract_z
La1 La 0.0000 0.1571 0.2283
La2 La 0.0000 0.3378 0.3940
Pm1 Pm 0.0000 0.0000 0.0000
Pm2 Pm 0.0000 0.3028 0.0000
Sm1 Sm 0.0000 0.0000 0.5000
Sm2 Sm 0.0000 0.5000 0.1777
```

Calculated values
The value obtained for the formation energy is 0.092 eV/atom. As for the density of states at the Fermi level: 37.04 states/eV/cell. The value obtained for the spin magnetization is 0.0 Bohr magnetons per cell.